Run a
# YReBr, optimized geometry, DFT PBE
# V   20.10 A^3/atom
data_YReBr
_chemical_formula_sum 'Y1 Re1 Br1'
_symmetry_space_group_name_H-M 'P -6 m 2'
_symmetry_Int_Tables_number 187
_symmetry_space_group_name_Hall 'P -6 2'
_cell_length_a 4.6015
_cell_length_b 4.6015
_cell_length_c 3.2881
_cell_angle_alpha 90.00
_cell_angle_beta 90.00
_cell_angle_gamma 120.00
loop_
_atom_site_label
_atom_site_type_symbol
_atom_site_fract_x
_atom_site_fract_y
_atom_site_fract_z
_atom_site_occupancy
Y1 Y 0.0000 0.0000 0.0000 1
Re1 Re 0.6667 0.3333 0.5000 1
Br1 Br 0.3333 0.6667 0.5000 1

=====

Run b
# YReBr, optimized geometry, DFT PBE
# V   23.59 A^3/atom
data_YReBr
_chemical_formula_sum 'Y2 Re2 Br2'
_symmetry_space_group_name_H-M 'I 4 m m'
_symmetry_Int_Tables_number 107
_symmetry_space_group_name_Hall 'I 4 -2'
_cell_length_a 3.256
_cell_length_b 3.256
_cell_length_c 13.352
_cell_angle_alpha 90.00
_cell_angle_beta 90.00
_cell_angle_gamma 90.00
loop_
_atom_site_label
_atom_site_type_symbol
_atom_site_fract_x
_atom_site_fract_y
_atom_site_fract_z
_atom_site_occupancy
Y1 Y 0.000 0.000 0.000 1
Re1 Re 0.000 0.000 0.642 1
Br1 Br 0.000 0.000 0.346 1

=====

Run c
# YReBr, optimized geometry, DFT PBE
# V   24.04 A^3/atom
data_YReBr
_chemical_formula_sum 'Y1 Re1 Br1'
_symmetry_space_group_name_H-M 'P 3 m 1'
_symmetry_Int_Tables_number 156
_symmetry_space_group_name_Hall 'P 3 -2"'
_cell_length_a 3.3938
_cell_length_b 3.3938
_cell_length_c 7.2304
_cell_angle_alpha 90.00
_cell_angle_beta 90.00
_cell_angle_gamma 120.00
loop_
_atom_site_label
_atom_site_type_symbol
_atom_site_fract_x
_atom_site_fract_y
_atom_site_fract_z
_atom_site_occupancy
Y1 Y 0.0000 0.0000 0.0000 1
Re1 Re 0.6667 0.3333 0.7088 1
Br1 Br 0.3333 0.6667 0.2948 1

=====

Run d
# YReBr, optimized geometry, DFT PBE
# V   28.32 A^3/atom
data_YReBr
_chemical_formula_sum 'Y4 Re4 Br4'
_symmetry_space_group_name_H-M 'F -4 3 m'
_symmetry_Int_Tables_number 216
_symmetry_space_group_name_Hall 'F -4 2 3'
_cell_length_a 6.978
_cell_length_b 6.978
_cell_length_c 6.978
_cell_angle_alpha 90.00
_cell_angle_beta 90.00
_cell_angle_gamma 90.00
loop_
_atom_site_label
_atom_site_type_symbol
_atom_site_fract_x
_atom_site_fract_y
_atom_site_fract_z
_atom_site_occupancy
Y1 Y 0.000 0.000 0.000 1
Re1 Re 0.250 0.250 0.250 1
Br1 Br 0.250 0.250 0.750 1

=====

If you had to bet on the most stable structure above, which would it be? Bet on run c.